1.
The following is a GGA-PBE calculation of an optimized crystal structure of Ho2MgZn16, from the Alexandria database.

Geometry as POSCAR:
```
Ho2MgZn16
1.0
4.500 2.598 4.409
-4.500 2.598 4.409
0.000 -5.196 4.409
Ho Mg Zn
2 1 16
direct
0.000 0.000 0.000
0.321 0.321 0.321
0.753 0.753 0.753
0.014 0.014 0.500
0.014 0.500 0.014
0.163 0.659 0.659
0.307 0.307 0.825
0.307 0.825 0.307
0.362 0.660 0.959
0.362 0.959 0.660
0.500 0.014 0.014
0.548 0.548 0.548
0.659 0.163 0.659
0.659 0.659 0.163
0.660 0.362 0.959
0.660 0.959 0.362
0.825 0.307 0.307
0.959 0.362 0.660
0.959 0.660 0.362
```

Values from the calculation:
- E_form (eV/atom) = -0.23
- symmetry = R3m


2.
The following is a GGA-PBE calculation of an optimized crystal structure of HoMg2Zn, from the Alexandria database.

Geometry as POSCAR:
```
HoMg2Zn
1.0
1.670 0.964 9.794
-1.670 0.964 9.794
0.000 -1.928 9.794
Ho Mg Zn
1 2 1
direct
0.000 0.000 0.000
0.239 0.239 0.239
0.429 0.429 0.429
0.834 0.834 0.834
```

Values from the calculation:
- E_form (eV/atom) = 0.04
- symmetry = R3m


3.
The following is a GGA-PBE calculation of an optimized crystal structure of Ho4Mg3Zn, from the Alexandria database.

Geometry as POSCAR:
```
Ho4Mg3Zn
1.0
3.386 0.000 0.000
0.000 4.971 0.000
0.000 0.000 12.397
Ho Mg Zn
4 3 1
direct
0.000 0.000 0.000
0.000 0.500 0.324
0.500 0.000 0.479
0.500 0.500 0.836
0.000 0.000 0.725
0.000 0.500 0.592
0.500 0.500 0.101
0.500 0.000 0.228
```

Values from the calculation:
- E_form (eV/atom) = -0.06
- distance to the lowest polymorph of the same formula (eV per formula unit) = 0.57
- symmetry = Pmm2


4.
The following is a GGA-PBE calculation of an optimized crystal structure of Ho2MgZn2, from the Alexandria database.

Geometry as POSCAR:
```
Ho2MgZn2
1.0
2.230 -7.155 0.000
2.230 7.155 0.000
0.000 0.000 3.600
Ho Mg Zn
2 1 2
direct
0.128 0.872 0.000
0.872 0.128 0.000
0.500 0.500 0.500
0.299 0.701 0.500
0.701 0.299 0.500
```

Values from the calculation:
- E_form (eV/atom) = -0.26
- symmetry = Cmmm


5.
The following is a GGA-PBE calculation of an optimized crystal structure of Ho3MgZn3, from the Alexandria database.

Geometry as POSCAR:
```
Ho3MgZn3
1.0
4.946 2.856 1.964
-4.946 2.856 1.964
0.000 -5.712 1.964
Ho Mg Zn
3 1 3
direct
0.058 0.471 0.471
0.471 0.058 0.471
0.471 0.471 0.058
0.817 0.817 0.817
0.503 0.985 0.985
0.985 0.503 0.985
0.985 0.985 0.503
```

Values from the calculation:
- E_form (eV/atom) = -0.19
- symmetry = R3m


6.
The following is a GGA-PBE calculation of an optimized crystal structure of Ho6Mg2Zn, from the Alexandria database.

Geometry as POSCAR:
```
Ho6Mg2Zn
1.0
6.305 0.000 0.000
0.000 9.297 0.000
-4.585 0.000 8.743
Ho Mg Zn
12 4 2
direct
0.071 0.172 0.470
0.071 0.328 0.970
0.358 0.687 0.446
0.358 0.813 0.946
0.428 0.034 0.301
0.428 0.466 0.801
0.572 0.534 0.199
0.572 0.966 0.699
0.642 0.187 0.054
0.642 0.313 0.554
0.929 0.672 0.030
0.929 0.828 0.530
0.117 0.094 0.774
0.117 0.406 0.274
0.883 0.594 0.726
0.883 0.906 0.226
0.000 0.000 0.000
0.000 0.500 0.500
```

Values from the calculation:
- E_form (eV/atom) = 0.05
- symmetry = P2_1/c


7.
The following is a GGA-PBE calculation of an optimized crystal structure of HoMg2Zn2, from the Alexandria database.

Geometry as POSCAR:
```
HoMg2Zn2
1.0
4.761 0.000 0.000
0.000 4.705 0.000
-2.356 0.000 9.063
Ho Mg Zn
2 4 4
direct
0.159 0.250 0.318
0.841 0.750 0.682
0.346 0.250 0.693
0.454 0.750 0.910
0.546 0.250 0.090
0.654 0.750 0.307
0.042 0.750 0.087
0.254 0.750 0.507
0.746 0.250 0.493
0.958 0.250 0.913
```

Values from the calculation:
- E_form (eV/atom) = -0.20
- distance to the lowest polymorph of the same formula (eV per formula unit) = 0.00
- symmetry = P2_1/m


8.
The following is a GGA-PBE calculation of an optimized crystal structure of HoMg9Zn2, from the Alexandria database.

Geometry as POSCAR:
```
HoMg9Zn2
1.0
-5.938 5.938 3.753
5.938 -5.938 3.753
5.938 5.938 -3.753
Ho Mg Zn
2 18 4
direct
0.375 0.625 0.750
0.625 0.375 0.250
0.125 0.875 0.250
0.127 0.558 0.325
0.127 0.801 0.568
0.199 0.267 0.325
0.199 0.873 0.932
0.267 0.199 0.825
0.267 0.442 0.068
0.442 0.267 0.568
0.442 0.873 0.175
0.558 0.127 0.825
0.558 0.733 0.432
0.733 0.558 0.932
0.733 0.801 0.175
0.801 0.127 0.068
0.801 0.733 0.675
0.873 0.199 0.432
0.873 0.442 0.675
0.875 0.125 0.750
0.000 0.000 0.000
0.000 0.000 0.500
0.000 0.500 0.000
0.500 0.000 0.500
```

Values from the calculation:
- E_form (eV/atom) = -0.04
- symmetry = I4_1/amd